1.
DFT (PBE-GGA) results for KIn4Hg after structural relaxation.

Calculated values
crystal system: cubic
DOS(E_F): 9.76 states/eV/cell
relative energy among the computed polymorphs: 0.063 eV/atom
calculated formation energy: -0.02 eV/atom

The structure in CIF format:
```
data_KIn4Hg
_chemical_formula_sum 'K4 In16 Hg4'
_cell_length_a 8.991
_cell_length_b 8.991
_cell_length_c 8.991
_cell_angle_alpha 90.00
_cell_angle_beta 90.00
_cell_angle_gamma 90.00
_space_group_name_H-M_alt 'F -4 3 m'
_space_group_IT_number 216
_space_group_name_Hall 'F -4 2 3'
loop_
_atom_site_label
_atom_site_type_symbol
_atom_site_fract_x
_atom_site_fract_y
_atom_site_fract_z
K1 K 0.000 0.000 0.000
In1 In 0.125 0.125 0.375
Hg1 Hg 0.250 0.250 0.750
```

---

2.
DFT (PBE-GGA) results for LiTeSeN2 after structural relaxation.

Calculated values
crystal system: tetragonal
formation energy (no corrections): 1.562 eV per atom
DOS(E_F): 2.50 states/eV/cell
relative energy among the computed polymorphs: 0.577 eV/atom

The structure in CIF format:
```
data_LiTeSeN2
_chemical_formula_sum 'Li1 Te1 Se1 N2'
_cell_length_a 4.137
_cell_length_b 4.137
_cell_length_c 4.824
_cell_angle_alpha 90.00
_cell_angle_beta 90.00
_cell_angle_gamma 90.00
_space_group_name_H-M_alt 'P 4/m m m'
_space_group_IT_number 123
_space_group_name_Hall '-P 4 2'
loop_
_atom_site_label
_atom_site_type_symbol
_atom_site_fract_x
_atom_site_fract_y
_atom_site_fract_z
Li1 Li 0.000 0.000 0.000
Te1 Te 0.500 0.500 0.500
Se1 Se 0.000 0.000 0.500
N1 N 0.000 0.500 0.000
```

---

3.
DFT (PBE-GGA) results for TcSnCl3 after structural relaxation.

Calculated values
crystal system: cubic
formation energy (no corrections): -0.012 eV per atom
DOS(E_F): 5.77 states/eV/cell
relative energy among the computed polymorphs: 0.000 eV/atom

The structure in CIF format:
```
data_TcSnCl3
_chemical_formula_sum 'Tc1 Sn1 Cl3'
_cell_length_a 4.904
_cell_length_b 4.904
_cell_length_c 4.904
_cell_angle_alpha 90.00
_cell_angle_beta 90.00
_cell_angle_gamma 90.00
_space_group_name_H-M_alt 'P m -3 m'
_space_group_IT_number 221
_space_group_name_Hall '-P 4 2 3'
loop_
_atom_site_label
_atom_site_type_symbol
_atom_site_fract_x
_atom_site_fract_y
_atom_site_fract_z
Tc1 Tc 0.000 0.000 0.000
Sn1 Sn 0.500 0.500 0.500
Cl1 Cl 0.000 0.000 0.500
```

---

4.
DFT (PBE-GGA) results for Sc4AsO2 after structural relaxation.

Calculated values
crystal system: orthorhombic
formation energy (no corrections): -2.021 eV per atom
DOS(E_F): 14.96 states/eV/cell
relative energy among the computed polymorphs: 0.000 eV/atom

The structure in CIF format:
```
data_Sc4AsO2
_chemical_formula_sum 'Sc16 As4 O8'
_cell_length_a 5.912
_cell_length_b 9.386
_cell_length_c 9.124
_cell_angle_alpha 90.00
_cell_angle_beta 90.00
_cell_angle_gamma 90.00
_space_group_name_H-M_alt 'C c c m'
_space_group_IT_number 66
_space_group_name_Hall '-C 2 2c'
loop_
_atom_site_label
_atom_site_type_symbol
_atom_site_fract_x
_atom_site_fract_y
_atom_site_fract_z
Sc1 Sc 0.226 0.082 0.000
Sc2 Sc 0.250 0.250 0.333
As1 As 0.000 0.500 0.250
O1 O 0.118 0.127 0.500
```

---

Sequential magnetization output: 0.0 3.9 1.8 0.0 μB/f.u.